Entry 1:
DFT (PBE-GGA) results for Y2HfPaN4 after structural relaxation.

abc: 3.4092 5.9019 5.9173
angles: 108.98 90.00 90.00
Closest atoms and distances in Å follow each position.
Fractional coordinates of all 8 atoms:
Y (0.5000, 0.0000, 0.5000)  6 N 2.45-2.47
Pa (0.5000, 0.5000, 0.0000)  6 N 2.35-2.39
Y (0.0000, 0.5000, 0.5000)  6 N 2.52
N (0.5000, 0.2359, 0.2235)  2 Hf 2.32, 1 Pa 2.35, 3 Y 2.47-2.52
Hf (0.0000, 0.0000, 0.0000)  6 N 2.29-2.32
N (0.5000, 0.7641, 0.7765)  2 Hf 2.32, 1 Pa 2.35, 3 Y 2.47-2.52
N (0.0000, 0.2443, 0.7677)  1 Hf 2.29, 2 Pa 2.39, 3 Y 2.45-2.52
N (0.0000, 0.7557, 0.2323)  1 Hf 2.29, 2 Pa 2.39, 3 Y 2.45-2.52

Properties
Space group: P2/m (10)
Uncorrected formation energy (eV per atom): -1.6961

---

Entry 2:
DFT (PBE-GGA) results for YHfPa2N4 after structural relaxation.

abc: 3.3835 5.8709 5.9973
angles: 108.93 90.00 90.00
Closest atoms and distances in Å follow each position.
Fractional coordinates of all 8 atoms:
Pa (0.0000, 0.5000, 0.5000)  6 N 2.52-2.53
Pa (0.5000, 0.0000, 0.5000)  6 N 2.41
Hf (0.0000, 0.0000, 0.0000)  6 N 2.30-2.32
N (0.0000, 0.7639, 0.2406)  1 Hf 2.30, 3 Pa 2.41-2.53, 2 Y 2.43
N (0.0000, 0.2361, 0.7594)  1 Hf 2.30, 3 Pa 2.41-2.53, 2 Y 2.43
N (0.5000, 0.2288, 0.2305)  2 Hf 2.32, 3 Pa 2.41-2.52, 1 Y 2.42
N (0.5000, 0.7712, 0.7695)  2 Hf 2.32, 3 Pa 2.41-2.52, 1 Y 2.42
Y (0.5000, 0.5000, 0.0000)  6 N 2.42-2.43

Properties
Space group: P2/m (10)
Uncorrected formation energy (eV per atom): -1.6515

---

Entry 3:
DFT (PBE-GGA) results for YHfPa2N6 after structural relaxation.

abc: 5.8378 5.8378 6.0086
angles: 60.93 60.93 60.00
Closest atoms and distances in Å follow each position.
Fractional coordinates of all 10 atoms:
N (0.1460, 0.3983, 0.7528)  2 Pa 2.25-2.31, 1 Hf 2.28, 1 Y 2.32
N (0.6124, 0.2148, 0.2403)  1 Hf 2.16, 2 Pa 2.29-2.32
N (0.7029, 0.1460, 0.7528)  2 Pa 2.25-2.31, 1 Hf 2.28, 1 Y 2.32
N (0.9325, 0.6125, 0.2403)  1 Hf 2.16, 2 Pa 2.29-2.32
Pa (0.0215, 0.0215, 0.9356)  6 N 2.25-2.32
Pa (0.5256, 0.5256, 0.4233)  6 N 2.29-2.31
Y (0.7987, 0.7987, 0.6039)  6 N 2.32-2.52
Hf (0.3090, 0.3090, 0.0730)  6 N 2.16-2.28
N (0.2147, 0.9325, 0.2403)  1 Hf 2.16, 2 Pa 2.29-2.32
N (0.3983, 0.7029, 0.7528)  2 Pa 2.25-2.31, 1 Hf 2.28, 1 Y 2.32

Properties
Space group: R3 (146)
Uncorrected formation energy (eV per atom): -1.4628

---

Entry 4:
DFT (PBE-GGA) results for HfPa2ZnN5 after structural relaxation.

abc: 3.3356 6.8842 10.1875
angles: 90.00 90.00 104.02
Closest atoms and distances in Å follow each position.
Fractional coordinates of all 18 atoms:
N (0.5088, 0.0175, 0.2812)  1 Zn 2.02
N (0.2879, 0.5758, 0.6546)  3 Pa 2.29-2.42, 2 Hf 2.31
N (0.6965, 0.3931, 0.8531)  2 Hf 2.23, 1 Pa 2.37
N (0.6422, 0.2845, 0.5141)  1 Hf 2.11, 1 Zn 2.13
Pa (0.8821, 0.7641, 0.1819)  4 N 2.29-2.49
N (0.3035, 0.6069, 0.3531)  2 Hf 2.23, 1 Pa 2.37
Hf (0.7999, 0.5998, 0.4985)  6 N 2.11-2.31
Pa (0.8676, 0.7353, 0.7917)  6 N 2.35-2.50
N (0.0486, 0.0972, 0.0718)  2 Zn 1.98, 1 Hf 2.16
Zn (0.5147, 0.0295, 0.9771)  4 N 1.98-2.13
N (0.9514, 0.9028, 0.5718)  2 Zn 1.98, 1 Hf 2.16
N (0.7121, 0.4242, 0.1546)  3 Pa 2.29-2.42, 2 Hf 2.31
Zn (0.4853, 0.9705, 0.4771)  4 N 1.98-2.13
N (0.3578, 0.7155, 0.0141)  1 Hf 2.11, 1 Zn 2.13
Hf (0.2001, 0.4002, 0.9985)  6 N 2.11-2.31
Pa (0.1324, 0.2647, 0.2917)  6 N 2.35-2.50
Pa (0.1179, 0.2359, 0.6819)  4 N 2.29-2.49
N (0.4912, 0.9825, 0.7812)  1 Zn 2.02

Properties
Space group: Cmc2_1 (36)
Uncorrected formation energy (eV per atom): -1.2563

---

Entry 5:
DFT (PBE-GGA) results for Hf3Zr4PaN8 after structural relaxation.

abc: 6.5728 6.5481 6.5729
angles: 120.13 120.00 90.00
Closest atoms and distances in Å follow each position.
Fractional coordinates of all 16 atoms:
Hf (0.0000, 0.5000, 0.5000)  6 N 2.27-2.28
N (0.2635, 0.2581, 0.0108)  2 Hf 2.27, 3 Zr 2.30-2.37, 1 Pa 2.35
Hf (0.5000, 0.5000, 0.5000)  6 N 2.27-2.28
Zr (0.0000, 0.0000, 0.5000)  6 N 2.36-2.37
N (0.7473, 0.2581, 0.0108)  2 Hf 2.27, 3 Zr 2.30-2.37, 1 Pa 2.35
Zr (0.0000, 0.0000, 0.0000)  6 N 2.36-2.37
N (0.2547, 0.2640, 0.5093)  3 Hf 2.28, 3 Zr 2.36
N (0.7365, 0.7419, 0.9892)  2 Hf 2.27, 3 Zr 2.30-2.37, 1 Pa 2.35
Zr (0.5000, 0.0000, 0.0000)  6 N 2.30
N (0.2527, 0.7419, 0.5054)  2 Hf 2.27, 3 Zr 2.30-2.37, 1 Pa 2.35
N (0.7473, 0.2581, 0.4946)  2 Hf 2.27, 3 Zr 2.30-2.37, 1 Pa 2.35
Hf (0.5000, 0.5000, 0.0000)  6 N 2.27-2.28
N (0.7453, 0.7360, 0.4907)  3 Hf 2.28, 3 Zr 2.36
N (0.2527, 0.7419, 0.9892)  2 Hf 2.27, 3 Zr 2.30-2.37, 1 Pa 2.35
Zr (0.5000, 0.0000, 0.5000)  6 N 2.36-2.37
Pa (0.0000, 0.5000, 0.0000)  6 N 2.35

Properties
Space group: R-3m (166)
Uncorrected formation energy (eV per atom): -1.6971

---

Entry 6:
DFT (PBE-GGA) results for HfZrPaN3 after structural relaxation.

abc: 3.2214 6.7217 8.3934
angles: 90.02 90.00 90.00
Closest atoms and distances in Å follow each position.
Fractional coordinates of all 12 atoms:
Hf (0.2500, 0.6219, 0.1337)  5 N 2.14-2.26
Hf (0.7500, 0.3781, 0.8663)  5 N 2.14-2.26
N (0.7500, 0.3870, 0.1209)  3 Hf 2.14-2.26
N (0.2500, 0.8621, 0.6101)  3 Zr 2.20-2.21, 2 Pa 2.46
N (0.2500, 0.6130, 0.8791)  3 Hf 2.14-2.26
Zr (0.2500, 0.1858, 0.5650)  3 N 2.20-2.21
Pa (0.2500, 0.1268, 0.1678)  7 N 2.41-2.60
Zr (0.7500, 0.8142, 0.4350)  3 N 2.20-2.21
Pa (0.7500, 0.8732, 0.8322)  7 N 2.41-2.60
N (0.7500, 0.1379, 0.3899)  3 Zr 2.20-2.21, 2 Pa 2.46
N (0.7500, 0.8469, 0.1409)  2 Hf 2.21
N (0.2500, 0.1531, 0.8591)  2 Hf 2.21

Properties
Space group: P2_1/m (11)
Uncorrected formation energy (eV per atom): -1.4103

---

Entry 7:
DFT (PBE-GGA) results for HfZrPa2N6 after structural relaxation.

abc: 5.7685 5.7685 5.9081
angles: 60.78 60.78 60.00
Closest atoms and distances in Å follow each position.
Fractional coordinates of all 10 atoms:
Hf (0.3068, 0.3068, 0.0797)  6 N 2.12-2.31
N (0.6937, 0.1180, 0.7519)  1 Zr 2.14, 2 Pa 2.31-2.32, 1 Hf 2.31
N (0.4364, 0.6937, 0.7519)  1 Zr 2.14, 2 Pa 2.31-2.32, 1 Hf 2.31
Zr (0.8043, 0.8043, 0.5871)  6 N 2.14-2.36
Pa (0.0254, 0.0254, 0.9238)  6 N 2.31-2.32
N (0.1180, 0.4364, 0.7519)  1 Zr 2.14, 2 Pa 2.31-2.32, 1 Hf 2.31
N (0.9410, 0.6129, 0.2495)  1 Hf 2.12, 2 Pa 2.31-2.32, 1 Zr 2.36
Pa (0.5265, 0.5265, 0.4204)  6 N 2.31-2.32
N (0.1965, 0.9410, 0.2495)  1 Hf 2.12, 2 Pa 2.31-2.32, 1 Zr 2.36
N (0.6130, 0.1965, 0.2495)  1 Hf 2.12, 2 Pa 2.31-2.32, 1 Zr 2.36

Properties
Space group: R3 (146)
Uncorrected formation energy (eV per atom): -1.5972

---

Entry 8:
DFT (PBE-GGA) results for Hf3Zr2PaN6 after structural relaxation.

abc: 3.2660 6.6129 7.3475
angles: 103.75 102.84 90.00
Closest atoms and distances in Å follow each position.
Fractional coordinates of all 12 atoms:
N (0.6627, 0.5916, 0.3255)  3 Hf 2.26, 3 Zr 2.31-2.36
Hf (0.1702, 0.8312, 0.3404)  6 N 2.21-2.33
Hf (0.5000, 0.5000, 0.0000)  6 N 2.24-2.26
Pa (0.5000, 0.0000, 0.0000)  6 N 2.38-2.41
Zr (0.8290, 0.6611, 0.6580)  6 N 2.31-2.42
N (0.0028, 0.7343, 0.0056)  3 Hf 2.24-2.33, 2 Pa 2.41, 1 Zr 2.42
N (0.9972, 0.2657, 0.9944)  3 Hf 2.24-2.33, 2 Pa 2.41, 1 Zr 2.42
Zr (0.1710, 0.3389, 0.3420)  6 N 2.31-2.42
N (0.3373, 0.4084, 0.6745)  3 Hf 2.26, 3 Zr 2.31-2.36
Hf (0.8298, 0.1688, 0.6596)  6 N 2.21-2.33
N (0.6711, 0.0755, 0.3423)  3 Hf 2.21-2.29, 1 Pa 2.38, 2 Zr 2.39
N (0.3289, 0.9245, 0.6577)  3 Hf 2.21-2.29, 1 Pa 2.38, 2 Zr 2.39

Properties
Space group: C2/m (12)
Uncorrected formation energy (eV per atom): -1.7019

---

Entry 9:
DFT (PBE-GGA) results for Hf4ZrPa3N8 after structural relaxation.

abc: 6.5559 6.7494 6.5561
angles: 119.05 120.00 90.00
Closest atoms and distances in Å follow each position.
Fractional coordinates of all 16 atoms:
N (0.7429, 0.2251, 0.9822)  3 Hf 2.27-2.28, 1 Zr 2.43, 2 Pa 2.44
N (0.2571, 0.7749, 0.5142)  3 Hf 2.27-2.28, 1 Zr 2.43, 2 Pa 2.44
Hf (0.5000, 0.0000, 0.5000)  6 N 2.25-2.27
Zr (0.0000, 0.5000, 0.0000)  6 N 2.43
N (0.2571, 0.7749, 0.0178)  3 Hf 2.27-2.28, 1 Zr 2.43, 2 Pa 2.44
Hf (0.0000, 0.0000, 0.0000)  6 N 2.25-2.27
N (0.7429, 0.2251, 0.4858)  3 Hf 2.27-2.28, 1 Zr 2.43, 2 Pa 2.44
N (0.2394, 0.2183, 0.4789)  3 Hf 2.25, 3 Pa 2.46
N (0.2393, 0.2251, 0.9822)  3 Hf 2.27-2.28, 1 Zr 2.43, 2 Pa 2.44
N (0.7607, 0.7749, 0.0178)  3 Hf 2.27-2.28, 1 Zr 2.43, 2 Pa 2.44
Pa (0.5000, 0.5000, 0.5000)  6 N 2.44-2.46
N (0.7606, 0.7817, 0.5211)  3 Hf 2.25, 3 Pa 2.46
Hf (0.5000, 0.0000, 0.0000)  6 N 2.28
Hf (0.0000, 0.0000, 0.5000)  6 N 2.25-2.27
Pa (0.0000, 0.5000, 0.5000)  6 N 2.44-2.46
Pa (0.5000, 0.5000, 0.0000)  6 N 2.44-2.46

Properties
Space group: R-3m (166)
Uncorrected formation energy (eV per atom): -1.7070

---

Entry 10:
DFT (PBE-GGA) results for HfZr2Pa3N6 after structural relaxation.

abc: 5.7471 5.7471 5.9787
angles: 99.21 99.21 119.96
Closest atoms and distances in Å follow each position.
Fractional coordinates of all 12 atoms:
N (0.9248, 0.5979, 0.7743)  1 Hf 2.27, 2 Zr 2.32, 3 Pa 2.45-2.49
N (0.5979, 0.9248, 0.7743)  1 Hf 2.27, 2 Zr 2.32, 3 Pa 2.45-2.49
Zr (0.6666, 0.3334, 0.0000)  6 N 2.32
Zr (0.3334, 0.6666, 0.0000)  6 N 2.32
Hf (0.0000, 0.0000, 0.0000)  6 N 2.27-2.28
N (0.7489, 0.7489, 0.2270)  1 Hf 2.28, 2 Zr 2.32, 3 Pa 2.45-2.49
N (0.2511, 0.2511, 0.7730)  1 Hf 2.28, 2 Zr 2.32, 3 Pa 2.45-2.49
Pa (0.1675, 0.8325, 0.5000)  6 N 2.45-2.49
Pa (0.5000, 0.5000, 0.5000)  6 N 2.45-2.49
N (0.0752, 0.4021, 0.2257)  1 Hf 2.27, 2 Zr 2.32, 3 Pa 2.45-2.49
Pa (0.8325, 0.1675, 0.5000)  6 N 2.45-2.49
N (0.4021, 0.0752, 0.2257)  1 Hf 2.27, 2 Zr 2.32, 3 Pa 2.45-2.49

Properties
Space group: C2/m (12)
Uncorrected formation energy (eV per atom): -1.6756

---

Entry 11:
DFT (PBE-GGA) results for Hf2ZrPaN4 after structural relaxation.

abc: 3.2678 5.6552 5.8137
angles: 108.82 90.00 90.00
Closest atoms and distances in Å follow each position.
Fractional coordinates of all 8 atoms:
N (0.0000, 0.7608, 0.2745)  3 Hf 2.25-2.27, 1 Zr 2.40, 2 Pa 2.42
N (0.5000, 0.2559, 0.2692)  3 Hf 2.27-2.28, 1 Pa 2.40, 2 Zr 2.40
Zr (0.0000, 0.0000, 0.0000)  6 N 2.40
Hf (0.5000, 0.0000, 0.5000)  6 N 2.25-2.27
Hf (0.0000, 0.5000, 0.5000)  6 N 2.27-2.28
N (0.5000, 0.7441, 0.7308)  3 Hf 2.27-2.28, 1 Pa 2.40, 2 Zr 2.40
N (0.0000, 0.2392, 0.7255)  3 Hf 2.25-2.27, 1 Zr 2.40, 2 Pa 2.42
Pa (0.5000, 0.5000, 0.0000)  6 N 2.40-2.42

Properties
Space group: P2/m (10)
Uncorrected formation energy (eV per atom): -1.7066

---

Entry 12:
DFT (PBE-GGA) results for HfZr3Pa2N6 after structural relaxation.

abc: 5.8069 5.8069 5.7607
angles: 99.67 99.67 119.96
Closest atoms and distances in Å follow each position.
Fractional coordinates of all 12 atoms:
N (0.9171, 0.5921, 0.7480)  1 Hf 2.33, 3 Zr 2.33-2.43, 2 Pa 2.39-2.40
N (0.0829, 0.4079, 0.2520)  1 Hf 2.33, 3 Zr 2.33-2.43, 2 Pa 2.39-2.40
N (0.7608, 0.7608, 0.2526)  3 Zr 2.30-2.40, 1 Hf 2.33, 2 Pa 2.39
Pa (0.3338, 0.6662, 0.0000)  6 N 2.39-2.40
N (0.5921, 0.9171, 0.7480)  1 Hf 2.33, 3 Zr 2.33-2.43, 2 Pa 2.39-2.40
N (0.2392, 0.2392, 0.7474)  3 Zr 2.30-2.40, 1 Hf 2.33, 2 Pa 2.39
Hf (0.0000, 0.0000, 0.0000)  6 N 2.33
Zr (0.5000, 0.5000, 0.5000)  6 N 2.34-2.40
Zr (0.8378, 0.1622, 0.5000)  6 N 2.30-2.43
N (0.4079, 0.0829, 0.2520)  1 Hf 2.33, 3 Zr 2.33-2.43, 2 Pa 2.39-2.40
Zr (0.1622, 0.8378, 0.5000)  6 N 2.30-2.43
Pa (0.6662, 0.3338, 0.0000)  6 N 2.39-2.40

Properties
Space group: C2/m (12)
Uncorrected formation energy (eV per atom): -1.6658

---

Q: Look up the uncorrected formation energy of the twelfth one.
A: -1.6658 eV per atom

---

Q: uncorrected formation energy of number 6 (HfZrPaN3)?
A: -1.4103 eV per atom